No. 1
A plane-wave DFT calculation with PBE was carried out for a geometry-optimized LiLuZnNi structure.

Geometry as extended XYZ:
```
4
Lattice="0.0000 3.1706 3.1706 3.1706 0.0000 3.1706 3.1706 3.1706 0.0000" Properties=species:S:1:pos:R:3 pbc="T T T"
Li 0.0000 0.0000 0.0000
Lu 4.7559 4.7559 4.7559
Zn 1.5853 1.5853 1.5853
Ni 3.1706 3.1706 3.1706
```

As for the raw total energy: -3.55 eV/atom. Its space group is F-43m. The crystal system is cubic. The excess energy over the best structure of this formula in the dataset comes out at 0.0 meV per atom. Its total magnetization is 0.4 μB/f.u.

***

No. 2
A plane-wave DFT calculation with PBE was carried out for a geometry-optimized LiLuZnNi structure.

Geometry as extended XYZ:
```
4
Lattice="0.0000 3.1674 3.1674 3.1674 0.0000 3.1674 3.1674 3.1674 0.0000" Properties=species:S:1:pos:R:3 pbc="T T T"
Li 0.0000 0.0000 0.0000
Lu 1.5837 1.5837 1.5837
Zn 3.1674 3.1674 3.1674
Ni 4.7511 4.7511 4.7511
```

As for the raw total energy: -3.41 eV/atom. Its space group is F-43m. The crystal system is cubic. The excess energy over the best structure of this formula in the dataset comes out at 146.4 meV per atom. Its total magnetization is 0.1 μB/f.u.

***

No. 3
A plane-wave DFT calculation with PBE was carried out for a geometry-optimized LiLuNp structure.

Geometry as extended XYZ:
```
3
Lattice="0.0000 3.4532 3.4532 3.4532 0.0000 3.4532 3.4532 3.4532 0.0000" Properties=species:S:1:pos:R:3 pbc="T T T"
Li 0.0000 0.0000 0.0000
Lu 5.1798 5.1798 5.1798
Np 1.7266 1.7266 1.7266
```

As for the raw total energy: -5.39 eV/atom. Its space group is F-43m. The crystal system is cubic. The excess energy over the best structure of this formula in the dataset comes out at 0.0 meV per atom. Its total magnetization is 5.9 μB/f.u.

***

No. 4
A plane-wave DFT calculation with PBE was carried out for a geometry-optimized Li8Lu4O11 structure.

Geometry as extended XYZ:
```
23
Lattice="5.1543 0.0000 0.0000 0.9919 5.3824 0.0000 2.2049 0.3767 9.0847" Properties=species:S:1:pos:R:3 pbc="T T T"
Li 0.0000 0.0000 0.0000
Li 2.1148 4.0084 5.0620
Li 2.0749 1.5704 3.8615
Li 3.0364 4.0091 2.2360
Li 2.9343 1.1921 1.0159
Li 4.5840 2.7357 4.4590
Li 6.0644 3.9971 8.5810
Li 6.3942 1.6446 6.5455
Lu 3.5296 3.1414 7.5259
Lu 4.6631 5.5077 5.9062
Lu 5.6440 5.3648 2.9912
Lu 5.6004 2.6003 1.5006
O 3.0004 5.1008 7.2368
O 1.1784 0.5724 1.7743
O 2.9694 2.1542 5.7088
O 2.2328 3.0043 0.3668
O 3.8824 4.7552 4.1677
O 3.8382 1.9627 2.6451
O 5.4643 3.5923 6.6245
O 4.7273 4.5949 1.1247
O 5.4653 0.7533 4.9036
O 7.0456 2.2738 8.6558
O 6.4255 3.3790 3.3532
```

As for the raw total energy: -6.23 eV/atom. Its space group is P1. The crystal system is triclinic. The excess energy over the best structure of this formula in the dataset comes out at 8.6 meV per atom. Its total magnetization is 2.0 μB/f.u.

***

No. 5
A plane-wave DFT calculation with PBE was carried out for a geometry-optimized LiLu2O4 structure.

Geometry as extended XYZ:
```
14
Lattice="0.0000 4.5921 4.5921 4.5921 0.0000 4.5921 4.5921 4.5921 0.0000" Properties=species:S:1:pos:R:3 pbc="T T T"
Li 1.1480 1.1480 1.1480
Li 8.0362 8.0362 8.0362
Lu 4.5921 2.2961 2.2961
Lu 2.2961 4.5921 2.2961
Lu 2.2961 2.2961 4.5921
Lu 4.5921 4.5921 4.5921
O 2.3994 2.3994 2.3994
O 4.4888 4.4888 2.3994
O 4.4888 2.3994 4.4888
O 6.7848 4.6955 4.6955
O 2.3994 4.4888 4.4888
O 4.6955 6.7848 4.6955
O 4.6955 4.6955 6.7848
O 6.7848 6.7848 6.7848
```

As for the raw total energy: -7.21 eV/atom. Its space group is Fd-3m. The crystal system is cubic. Its total magnetization is 1.0 μB/f.u.

***

No. 6
A plane-wave DFT calculation with PBE was carried out for a geometry-optimized Li4Lu2O5 structure.

Geometry as extended XYZ:
```
11
Lattice="2.1757 -6.6350 0.0000 2.1757 6.6350 0.0000 0.0000 0.0000 4.3491" Properties=species:S:1:pos:R:3 pbc="T T T"
Li 0.0000 0.0000 0.0000
Li 2.1757 4.1595 2.1745
Li 2.1757 0.0000 2.1745
Li 2.1757 -4.1595 2.1745
Lu 2.1757 2.1007 0.0000
Lu 2.1757 -2.1007 0.0000
O 2.1757 4.4104 0.0000
O 2.1757 2.0791 2.1745
O 2.1757 0.0000 0.0000
O 2.1757 -2.0791 2.1745
O 2.1757 -4.4104 0.0000
```

As for the raw total energy: -6.44 eV/atom. Its space group is Cmmm. The crystal system is orthorhombic. Its total magnetization is 0.0 μB/f.u.

***

No. 7
A plane-wave DFT calculation with PBE was carried out for a geometry-optimized Li2Lu2O5 structure.

Geometry as extended XYZ:
```
9
Lattice="3.5858 0.0000 0.0000 0.0000 3.5858 0.0000 0.0000 0.0000 6.9149" Properties=species:S:1:pos:R:3 pbc="T T T"
Li 0.0000 0.0000 1.7009
Li 0.0000 0.0000 5.2140
Lu 1.7929 1.7929 0.0000
Lu 1.7929 1.7929 3.4574
O 0.0000 0.0000 3.4574
O 0.0000 1.7929 1.4230
O 0.0000 1.7929 5.4919
O 1.7929 0.0000 1.4230
O 1.7929 0.0000 5.4919
```

As for the raw total energy: -6.39 eV/atom. Its space group is P4/mmm. The crystal system is tetragonal. The excess energy over the best structure of this formula in the dataset comes out at 0.0 meV per atom. Its total magnetization is 2.0 μB/f.u.

***

No. 8
A plane-wave DFT calculation with PBE was carried out for a geometry-optimized Li8LuO6 structure.

Geometry as extended XYZ:
```
15
Lattice="2.7619 1.5946 5.2248 -2.7619 1.5946 5.2248 0.0000 -3.1892 5.2248" Properties=species:S:1:pos:R:3 pbc="T T T"
Li -1.9851 -0.0801 5.9252
Li 0.0000 0.0000 2.4317
Li -0.9232 -1.7592 9.7493
Li 1.0619 -1.6791 5.9252
Li -1.0619 1.6791 9.7493
Li 0.9232 1.7592 5.9252
Li 0.0000 0.0000 13.2428
Li 1.9851 0.0801 9.7493
Lu 0.0000 0.0000 7.8372
O -0.8361 -1.5541 6.5283
O -1.7640 -0.0530 9.1461
O -0.9278 1.5012 6.5283
O 0.9278 -1.5012 9.1461
O 1.7640 0.0530 6.5283
O 0.8361 1.5541 9.1461
```

As for the raw total energy: -5.34 eV/atom. Its space group is R-3. The crystal system is trigonal. Its total magnetization is 1.0 μB/f.u.

***

No. 9
A plane-wave DFT calculation with PBE was carried out for a geometry-optimized LiLuO2 structure.

Geometry as extended XYZ:
```
16
Lattice="10.8213 0.0000 0.0000 0.0000 3.2699 0.0000 0.0000 0.0000 5.2047" Properties=species:S:1:pos:R:3 pbc="T T T"
Li 0.7511 0.8175 0.5068
Li 4.6596 2.4524 3.1092
Li 6.1617 0.8175 2.0955
Li 10.0702 2.4524 4.6979
Lu 1.5156 2.4524 2.8489
Lu 3.8950 0.8175 0.2465
Lu 6.9263 2.4524 4.9582
Lu 9.3057 0.8175 2.3558
O 0.2746 0.8175 3.8438
O 2.2852 0.8175 1.6539
O 3.1255 2.4524 4.2562
O 5.1361 2.4524 1.2414
O 5.6852 0.8175 3.9633
O 7.6958 0.8175 0.9485
O 8.5361 2.4524 3.5508
O 10.5467 2.4524 1.3609
```

As for the raw total energy: -7.11 eV/atom. Its space group is Pnma. The crystal system is orthorhombic. Its total magnetization is 0.0 μB/f.u.

***

No. 10
A plane-wave DFT calculation with PBE was carried out for a geometry-optimized LiLuO structure.

Geometry as extended XYZ:
```
6
Lattice="1.6527 -5.3853 0.0000 1.6527 5.3853 0.0000 0.0000 0.0000 6.4236" Properties=species:S:1:pos:R:3 pbc="T T T"
Li 1.6527 3.0062 3.2118
Li 1.6527 -3.0062 0.0000
Lu 1.6527 0.0024 1.6153
Lu 1.6527 -0.0024 4.8270
O 1.6527 1.3792 0.0072
O 1.6527 -1.3792 3.2190
```

As for the raw total energy: -5.42 eV/atom. Its space group is Cmc2_1. The crystal system is orthorhombic. Its total magnetization is 0.0 μB/f.u.

***

No. 11
A plane-wave DFT calculation with PBE was carried out for a geometry-optimized Li8Lu4O11 structure.

Geometry as extended XYZ:
```
23
Lattice="5.0948 0.0000 0.0000 0.8978 5.4423 0.0000 2.2710 0.6729 9.0778" Properties=species:S:1:pos:R:3 pbc="T T T"
Li 0.0000 0.0000 0.0000
Li 1.4063 1.7981 4.1209
Li 2.8975 3.6783 7.9592
Li 2.9877 0.6259 6.3005
Li 3.9344 3.0821 4.7448
Li 5.3690 4.8016 8.3975
Li 3.8491 0.7056 3.6486
Li 4.7939 2.6486 1.9745
Lu 2.0920 4.3868 2.6367
Lu 2.2262 1.7471 1.0146
Lu 5.5385 1.9938 7.1317
Lu 6.4450 4.6298 5.6056
O 2.1944 2.6389 5.9823
O 1.5040 3.6360 0.6788
O 3.0522 5.2677 4.3603
O 3.9376 1.2807 8.3590
O 3.0645 2.4207 2.8756
O 4.6952 3.9804 6.7272
O 4.7447 1.1921 5.2774
O 6.3480 2.8092 9.0301
O 5.5677 3.8181 3.7145
O 7.2636 5.4526 7.4498
O 5.6369 0.9051 2.1051
```

As for the raw total energy: -6.24 eV/atom. Its space group is P1. The crystal system is triclinic. The excess energy over the best structure of this formula in the dataset comes out at 0.0 meV per atom. Its total magnetization is 2.0 μB/f.u.

***

No. 12
A plane-wave DFT calculation with PBE was carried out for a geometry-optimized Li2Lu2O5 structure.

Geometry as extended XYZ:
```
9
Lattice="4.0375 0.0000 0.0000 0.0000 4.0375 0.0000 0.0000 0.0000 7.7428" Properties=species:S:1:pos:R:3 pbc="T T T"
Li 0.0000 0.0000 0.0000
Li 0.0000 0.0000 3.8714
Lu 2.0188 2.0188 1.8027
Lu 2.0188 2.0188 5.9402
O 0.0000 2.0188 1.1828
O 0.0000 2.0188 6.5601
O 2.0188 0.0000 1.1828
O 2.0188 0.0000 6.5601
O 2.0188 2.0188 3.8714
```

As for the raw total energy: -6.35 eV/atom. Its space group is P4/mmm. The crystal system is tetragonal. The excess energy over the best structure of this formula in the dataset comes out at 40.1 meV per atom. Its total magnetization is 2.0 μB/f.u.

***

No. 13
A plane-wave DFT calculation with PBE was carried out for a geometry-optimized LiLuO4 structure.

Geometry as extended XYZ:
```
12
Lattice="3.6139 0.0000 0.0000 -0.0027 4.2868 0.0000 -0.0300 -1.1385 7.8841" Properties=species:S:1:pos:R:3 pbc="T T T"
Li 0.0000 0.0000 0.0000
Li -0.0150 -0.5692 3.9420
Lu 1.7778 1.8595 1.9722
Lu 1.8034 1.2889 5.9118
O -0.0027 1.2397 4.5933
O -0.0051 1.3394 7.2328
O 1.7748 -0.2717 2.7294
O 1.7794 3.9911 1.2128
O 1.8018 -0.8428 6.6713
O 1.8065 3.4200 5.1546
O 3.5863 1.8089 0.6512
O 3.5839 1.9086 3.2908
```

As for the raw total energy: -6.21 eV/atom. Its space group is P-1. The crystal system is triclinic. The excess energy over the best structure of this formula in the dataset comes out at 0.0 meV per atom. Its total magnetization is 0.0 μB/f.u.

***

No. 14
A plane-wave DFT calculation with PBE was carried out for a geometry-optimized LiLuO4 structure.

Geometry as extended XYZ:
```
12
Lattice="4.1389 0.0000 0.0000 -0.2261 5.6152 0.0000 -0.0107 -0.0615 5.8251" Properties=species:S:1:pos:R:3 pbc="T T T"
Li -0.0582 1.3627 1.8785
Li 3.9603 4.1911 3.9466
Lu 1.8925 4.1738 1.7082
Lu 2.0096 1.3800 4.1169
O 0.5180 4.1712 5.7713
O 0.6441 1.4573 0.0501
O 0.8467 2.7775 2.9493
O 0.7481 5.5807 2.8864
O 3.1540 -0.0269 2.9387
O 3.0554 2.7763 2.8758
O 3.2580 4.0965 5.7750
O 3.3841 1.3826 0.0537
```

As for the raw total energy: -6.10 eV/atom. Its space group is P-1. The crystal system is triclinic. The excess energy over the best structure of this formula in the dataset comes out at 103.1 meV per atom. Its total magnetization is 0.0 μB/f.u.

***

No. 15
A plane-wave DFT calculation with PBE was carried out for a geometry-optimized LiLuSO structure.

Geometry as extended XYZ:
```
8
Lattice="3.7503 0.0000 0.0000 0.0000 3.7503 0.0000 0.0000 0.0000 8.4339" Properties=species:S:1:pos:R:3 pbc="T T T"
Li 0.9376 2.8128 0.0000
Li 2.8128 0.9376 0.0000
Lu 0.9376 0.9376 3.1332
Lu 2.8128 2.8128 5.3007
S 0.9376 0.9376 6.9379
S 2.8128 2.8128 1.4960
O 0.9376 2.8128 4.2170
O 2.8128 0.9376 4.2170
```

As for the raw total energy: -6.33 eV/atom. Its space group is P4/nmm. The crystal system is tetragonal. The excess energy over the best structure of this formula in the dataset comes out at 0.0 meV per atom. Its total magnetization is 0.0 μB/f.u.

***

No. 16
A plane-wave DFT calculation with PBE was carried out for a geometry-optimized LiLuSO structure.

Geometry as extended XYZ:
```
16
Lattice="6.0833 0.0000 0.0000 0.0000 6.9958 0.0000 -1.1033 0.0000 6.0625" Properties=species:S:1:pos:R:3 pbc="T T T"
Li 0.0119 1.6506 2.5381
Li -0.5397 1.8473 5.5694
Li 5.5198 5.1485 0.4932
Li 4.9681 5.3452 3.5245
Lu 2.5648 4.3447 1.6281
Lu 2.0131 6.1490 4.6594
Lu 2.9669 0.8468 1.4031
Lu 2.4153 2.6511 4.4344
S 0.2703 4.1859 5.1961
S 0.8220 6.3078 2.1649
S 4.1581 0.6880 3.8977
S 4.7097 2.8099 0.8664
O 1.2534 1.0683 5.4134
O 1.8050 2.4296 2.3821
O 3.1750 4.5662 3.6804
O 3.7267 5.9275 0.6492
```

As for the raw total energy: -6.32 eV/atom. Its space group is P2_1/c. The crystal system is monoclinic. The excess energy over the best structure of this formula in the dataset comes out at 17.2 meV per atom. Its total magnetization is 0.0 μB/f.u.

***

No. 17
A plane-wave DFT calculation with PBE was carried out for a geometry-optimized LiLuSO structure.

Geometry as extended XYZ:
```
8
Lattice="3.9126 0.0000 0.0000 0.0000 6.5136 0.0000 0.0000 0.0000 5.9610" Properties=species:S:1:pos:R:3 pbc="T T T"
Li 0.0000 1.3658 0.0000
Li 0.0000 5.1478 2.9805
Lu 1.9563 2.2888 2.5792
Lu 1.9563 4.2248 5.5597
S 0.0000 1.0292 3.5551
S 0.0000 5.4844 0.5746
O 1.9563 2.3658 0.5042
O 1.9563 4.1478 3.4847
```

As for the raw total energy: -6.10 eV/atom. Its space group is Pmc2_1. The crystal system is orthorhombic. The excess energy over the best structure of this formula in the dataset comes out at 232.8 meV per atom. Its total magnetization is 0.0 μB/f.u.

***

No. 18
A plane-wave DFT calculation with PBE was carried out for a geometry-optimized LiLuSO structure.

Geometry as extended XYZ:
```
16
Lattice="5.3946 0.0000 0.0000 0.0000 9.1333 0.0000 0.0000 0.0000 5.3456" Properties=species:S:1:pos:R:3 pbc="T T T"
Li 0.8225 0.3216 0.0000
Li 1.8749 0.3216 2.6728
Li 3.5198 8.8117 0.0000
Li 4.5722 8.8117 2.6728
Lu 0.0241 2.8702 3.4539
Lu 2.6732 2.8702 0.7811
Lu 2.7214 6.2630 3.4539
Lu 5.3705 6.2630 0.7811
S 0.0354 5.8412 3.4543
S 2.6619 5.8412 0.7815
S 2.7327 3.2921 3.4543
S 5.3592 3.2921 0.7815
O 0.2685 0.9386 3.5879
O 2.4288 0.9386 0.9151
O 2.9658 8.1946 3.5879
O 5.1261 8.1946 0.9151
```

As for the raw total energy: -6.17 eV/atom. Its space group is Pca2_1. The crystal system is orthorhombic. The excess energy over the best structure of this formula in the dataset comes out at 167.2 meV per atom. Its total magnetization is 0.0 μB/f.u.

***

No. 19
A plane-wave DFT calculation with PBE was carried out for a geometry-optimized LiLuSO structure.

Geometry as extended XYZ:
```
16
Lattice="5.3714 0.0000 0.0000 0.0000 5.3618 0.0000 -2.3852 0.0000 9.3649" Properties=species:S:1:pos:R:3 pbc="T T T"
Li -0.8988 0.0000 3.9376
Li 1.5109 2.3490 3.8812
Li 1.4753 5.0299 5.4837
Li 3.8850 2.6809 5.4273
Lu -0.0095 3.4628 1.0661
Lu 0.3019 3.4529 8.2996
Lu 2.6843 0.7720 1.0653
Lu 2.9957 0.7818 8.2988
S -0.9944 4.8824 6.2784
S 1.3312 4.8402 3.0942
S 1.6550 2.1593 6.2707
S 3.9806 2.2015 3.0864
O 1.3420 4.7944 0.0000
O 1.3432 2.1162 0.0094
O 1.6430 4.7971 9.3555
O 1.6442 2.1135 9.3649
```

As for the raw total energy: -6.28 eV/atom. Its space group is P2_1. The crystal system is monoclinic. The excess energy over the best structure of this formula in the dataset comes out at 52.9 meV per atom. Its total magnetization is 0.0 μB/f.u.

***

No. 20
A plane-wave DFT calculation with PBE was carried out for a geometry-optimized LiLuTeO structure.

Geometry as extended XYZ:
```
16
Lattice="6.7863 0.0000 0.0000 0.0000 7.2693 0.0000 -1.1326 0.0000 6.2833" Properties=species:S:1:pos:R:3 pbc="T T T"
Li 0.3670 1.5486 2.8315
Li -0.1993 2.0861 5.9732
Li 5.8530 5.1832 0.3101
Li 5.2867 5.7207 3.4517
Lu 2.2744 4.5246 4.8892
Lu 2.8407 6.3793 1.7475
Lu 2.8130 0.8900 4.5357
Lu 3.3793 2.7447 1.3941
Te 0.8302 4.1894 2.1046
Te 0.2639 6.7146 5.2463
Te 5.3898 0.5547 1.0370
Te 4.8235 3.0799 4.1786
O 2.2729 1.1101 2.4732
O 1.7066 2.5246 5.6148
O 3.9471 4.7447 0.6685
O 3.3808 6.1592 3.8101
```

As for the raw total energy: -5.74 eV/atom. Its space group is P2_1/c. The crystal system is monoclinic. The excess energy over the best structure of this formula in the dataset comes out at 73.8 meV per atom. Its total magnetization is 0.0 μB/f.u.